[1]
VASP calculation (GGA-PBE) on crystalline VCd2In at its relaxed geometry.

a = 7.9586 Å, b = 7.9586 Å, c = 6.3236 Å
α = 51.00°, β = 51.00°, γ = 90.00°
Site moments in Bohr magnetons follow the coordinates.
Fractional coordinates of all 8 atoms:
Cd 0.6122 0.1250 0.2500  -0.02
Cd 0.1378 0.6250 0.2500  -0.02
Cd 0.3750 0.3878 0.7500  -0.02
Cd 0.8750 0.8622 0.7500  -0.02
In 0.0000 0.0000 0.0000  -0.04
In 0.7500 0.2500 0.5000  -0.04
V 0.5000 0.5000 0.0000  2.36
V 0.2500 0.7500 0.5000  2.36

Calculated values
* space-group type: No. 122
* formation energy: 1.95 eV/f.u.
* crystal system: tetragonal
* density of states at the Fermi level: 0.83 states/eV per atom

[2]
VASP calculation (GGA-PBE) on crystalline CeNp2NbN4 at its relaxed geometry.

a = 3.3761 Å, b = 5.9424 Å, c = 5.7699 Å
α = 109.01°, β = 90.00°, γ = 90.00°
Site moments in Bohr magnetons follow the coordinates.
Fractional coordinates of all 8 atoms:
Ce 0.5000 0.5000 0.0000  0.05
Np 0.5000 0.0000 0.5000  -2.18
Np 0.0000 0.5000 0.5000  3.30
Nb 0.0000 0.0000 0.0000  -0.09
N 0.5000 0.2230 0.2397  -0.01
N 0.5000 0.7770 0.7603  -0.01
N 0.0000 0.2221 0.7470  0.03
N 0.0000 0.7779 0.2530  0.03

Calculated values
* space-group type: No. 10
* crystal system: monoclinic
* density of states at the Fermi level: 1.78 states/eV per atom
* energy relative to the elements, uncorrected: -1.1882 eV per atom

[3]
VASP calculation (GGA-PBE) on crystalline YBeTl at its relaxed geometry.

a = 8.2739 Å, b = 3.9724 Å, c = 4.1016 Å
α = 90.00°, β = 90.00°, γ = 79.49°
Fractional coordinates of all 6 atoms:
Y 0.5720 0.4831 0.4111
Y 0.2056 0.6180 0.9110
Be 0.3235 0.0735 0.4118
Be 0.4548 0.0278 0.9118
Tl 0.9877 0.2294 0.4109
Tl 0.7897 0.8717 0.9110

Calculated values
* space-group type: No. 11
* formation energy: -0.25 eV/f.u.
* distance to the lowest polymorph of the same formula: 0.034 eV/atom
* crystal system: monoclinic
* density of states at the Fermi level: 0.77 states/eV per atom

[4]
VASP calculation (GGA-PBE) on crystalline TaTiNbAg at its relaxed geometry.

a = 3.2076 Å, b = 3.2076 Å, c = 8.0751 Å
α = 101.46°, β = 101.46°, γ = 90.00°
Fractional coordinates of all 4 atoms:
Ta 0.9494 0.9494 0.8987
Ti 0.5516 0.5516 0.1031
Nb 0.3465 0.3465 0.6930
Ag 0.1647 0.1647 0.3293

Calculated values
* space-group type: No. 107
* formation energy: 1.30 eV/f.u.
* crystal system: tetragonal
* density of states at the Fermi level: 1.18 states/eV per atom

[5]
VASP calculation (GGA-PBE) on crystalline CuSnOsC at its relaxed geometry.

a = 3.4044 Å, b = 3.4041 Å, c = 6.7544 Å
α = 75.22°, β = 75.24°, γ = 59.81°
Fractional coordinates of all 4 atoms:
C 0.8884 0.6762 0.1194
Os 0.2188 0.0066 0.1270
Sn 0.3580 0.1457 0.7125
Cu 0.7820 0.5718 0.4372

Calculated values
* space-group type: No. 8
* formation energy: 1.70 eV/f.u.
* distance to the lowest polymorph of the same formula: 0.031 eV/atom
* crystal system: monoclinic
* density of states at the Fermi level: 0.34 states/eV per atom

[6]
VASP calculation (GGA-PBE) on crystalline Hf2Zr6Fe at its relaxed geometry.

a = 3.2881 Å, b = 8.3091 Å, c = 8.3108 Å
α = 119.99°, β = 90.00°, γ = 90.00°
Site moments in Bohr magnetons follow the coordinates.
Fractional coordinates of all 9 atoms:
Hf 0.0000 0.3333 0.6666  0.01
Hf 0.0000 0.6667 0.3334  0.01
Zr 0.5000 0.6144 0.0000  0.00
Zr 0.5000 0.3855 0.3855  0.00
Zr 0.5000 0.0000 0.6145  0.00
Zr 0.0000 0.2442 0.0000  -0.04
Zr 0.0000 0.7558 0.7559  -0.04
Zr 0.0000 0.0000 0.2441  -0.04
Fe 0.5000 0.0001 0.0000  0.36

Calculated values
* space-group type: No. 189
* formation energy: -0.14 eV/f.u.
* crystal system: hexagonal
* density of states at the Fermi level: 1.29 states/eV per atom